Record 1
VASP calculation (meta-GGA SCAN) on a PBEsol-optimized structure of InAgPt2.

Cell: 2.9513 3.8082 5.8004 Å, 90.00 90.00 90.00°
Fractional coordinates of all 4 atoms:
In: 0.0000 0.0000 0.0000
Ag: 0.0000 0.0000 0.5000
Pt: 0.5000 0.5000 0.2508
Pt: 0.5000 0.5000 0.7492

Properties
- DOS(E_F): 1.1 states/eV per cell
- Crystal system: orthorhombic
- V: 65 Å³/cell
- Raw total energy: -51.57 eV/atom



Record 2
VASP calculation (meta-GGA SCAN) on a PBEsol-optimized structure of In3AgPt.

Cell: 5.0958 5.0958 5.0958 Å, 90.00 90.00 90.00°
Fractional coordinates of all 5 atoms:
In: 0.0000 0.0000 0.5000
In: 0.0000 0.5000 0.0000
In: 0.5000 0.0000 0.0000
Ag: 0.5000 0.5000 0.5000
Pt: 0.0000 0.0000 0.0000

Properties
- DOS(E_F): 1.5 states/eV per cell
- Crystal system: cubic
- V: 132 Å³/cell
- Raw total energy: -40.41 eV/atom



Record 3
VASP calculation (meta-GGA SCAN) on a PBEsol-optimized structure of InAgPt2.

Cell: 2.9323 4.6315 4.8177 Å, 90.00 90.00 90.00°
Fractional coordinates of all 4 atoms:
In: 0.0000 0.0000 0.0000
Ag: 0.0000 0.5000 0.3742
Pt: 0.5000 0.0000 0.5011
Pt: 0.5000 0.5000 0.8658

Properties
- DOS(E_F): 1.0 states/eV per cell
- Crystal system: orthorhombic
- V: 65 Å³/cell
- Raw total energy: -51.53 eV/atom



Record 4
VASP calculation (meta-GGA SCAN) on a PBEsol-optimized structure of InAgPt3.

Cell: 4.8529 4.8529 4.8529 Å, 90.00 90.00 90.00°
Fractional coordinates of all 5 atoms:
In: 0.0000 0.0000 0.0000
Ag: 0.5000 0.5000 0.5000
Pt: 0.0000 0.0000 0.5000
Pt: 0.0000 0.5000 0.0000
Pt: 0.5000 0.0000 0.0000

Properties
- DOS(E_F): 1.6 states/eV per cell
- Crystal system: cubic
- V: 114 Å³/cell
- Raw total energy: -53.87 eV/atom



Record 5
VASP calculation (meta-GGA SCAN) on a PBEsol-optimized structure of InAgPt2.

Cell: 4.7958 4.7958 2.9525 Å, 90.00 90.00 105.94°
Fractional coordinates of all 4 atoms:
In: 0.0000 0.0000 0.0000
Ag: 0.5000 0.5000 0.0000
Pt: 0.0000 0.5000 0.5000
Pt: 0.5000 0.0000 0.5000

Properties
- DOS(E_F): 1.0 states/eV per cell
- Crystal system: orthorhombic
- V: 65 Å³/cell
- Raw total energy: -51.56 eV/atom



Record 6
VASP calculation (meta-GGA SCAN) on a PBEsol-optimized structure of InAgPt2.

Cell: 2.9579 2.9579 7.4826 Å, 90.00 90.00 90.00°
Fractional coordinates of all 4 atoms:
In: 0.0000 0.0000 0.0000
Ag: 0.0000 0.0000 0.5000
Pt: 0.5000 0.5000 0.2457
Pt: 0.5000 0.5000 0.7543

Properties
- DOS(E_F): 0.9 states/eV per cell
- Crystal system: tetragonal
- V: 65 Å³/cell
- Raw total energy: -51.54 eV/atom



Record 7
VASP calculation (meta-GGA SCAN) on a PBEsol-optimized structure of Rb3InAg.

Cell: 6.4971 6.4971 6.4971 Å, 90.00 90.00 90.00°
Fractional coordinates of all 5 atoms:
Rb: 0.0000 0.0000 0.5000
Rb: 0.0000 0.5000 0.0000
Rb: 0.5000 0.0000 0.0000
In: 0.5000 0.5000 0.5000
Ag: 0.0000 0.0000 0.0000

Properties
- DOS(E_F): 4.7 states/eV per cell
- Crystal system: cubic
- V: 274 Å³/cell
- Raw total energy: -25.18 eV/atom



Record 8
VASP calculation (meta-GGA SCAN) on a PBEsol-optimized structure of In2ReAg.

Cell: 6.5154 6.5154 6.5154 Å, 154.55 138.22 49.56°
Fractional coordinates of all 4 atoms:
In: 0.0000 0.0000 0.0000
In: 0.7187 0.2187 0.5000
Re: 0.5171 0.5171 0.0000
Ag: 0.3117 0.8117 0.5000

Properties
- DOS(E_F): 1.6 states/eV per cell
- Distance to the lowest polymorph of the same formula: 0.0 kJ/mol of formula units
- Crystal system: orthorhombic
- V: 79 Å³/cell
- Raw total energy: -41.88 eV/atom



Record 9
VASP calculation (meta-GGA SCAN) on a PBEsol-optimized structure of InRe2Ag.

Cell: 4.5022 4.5022 4.5022 Å, 60.00 60.00 60.00°
Fractional coordinates of all 4 atoms:
In: 0.0000 0.0000 0.0000
Re: 0.5000 0.5000 0.5000
Re: 0.7500 0.7500 0.7500
Ag: 0.2500 0.2500 0.2500

Properties
- DOS(E_F): 1.9 states/eV per cell
- Crystal system: cubic
- V: 65 Å³/cell
- Raw total energy: -51.07 eV/atom



Record 10
VASP calculation (meta-GGA SCAN) on a PBEsol-optimized structure of In2ReAg.

Cell: 4.6562 4.6562 4.6562 Å, 60.00 60.00 60.00°
Fractional coordinates of all 4 atoms:
In: 0.2500 0.2500 0.2500
In: 0.7500 0.7500 0.7500
Re: 0.0000 0.0000 0.0000
Ag: 0.5000 0.5000 0.5000

Properties
- DOS(E_F): 2.0 states/eV per cell
- Distance to the lowest polymorph of the same formula: 57.1 kJ/mol of formula units
- Crystal system: cubic
- V: 71 Å³/cell
- Raw total energy: -41.74 eV/atom



Record 11
VASP calculation (meta-GGA SCAN) on a PBEsol-optimized structure of InAg2Rh.

Cell: 3.9105 3.9105 4.2887 Å, 90.00 90.00 90.00°
Fractional coordinates of all 4 atoms:
In: 0.0000 0.0000 0.0000
Ag: 0.0000 0.5000 0.5000
Ag: 0.5000 0.0000 0.5000
Rh: 0.5000 0.5000 0.0000

Properties
- DOS(E_F): 0.9 states/eV per cell
- Crystal system: tetragonal
- V: 66 Å³/cell
- Raw total energy: -32.59 eV/atom



Record 12
VASP calculation (meta-GGA SCAN) on a PBEsol-optimized structure of InAg2Rh.

Cell: 9.4615 9.4615 9.4615 Å, 17.65 17.65 17.65°
Fractional coordinates of all 4 atoms:
In: 0.0000 0.0000 0.0000
Ag: 0.2458 0.2458 0.2458
Ag: 0.7542 0.7542 0.7542
Rh: 0.5000 0.5000 0.5000

Properties
- DOS(E_F): 3.0 states/eV per cell
- Crystal system: trigonal
- V: 68 Å³/cell
- Raw total energy: -32.23 eV/atom